1 | Si2SbIr2, optimized geometry, DFT PBE; space-group type = I4/mmm, No. 139
1.0
3.770 0.000 0.000
0.000 3.770 0.000
1.885 1.885 5.956
Ir Si Sb
2 2 1
Cartesian
1.885 1.885 1.510
3.770 3.770 4.446
3.770 1.885 2.978
1.885 3.770 2.978
0.000 0.000 0.000

2 | Si2SbIr2, optimized geometry, DFT PBE; space-group type = P4/mbm, No. 127
1.0
7.471 0.000 0.000
0.000 7.471 0.000
0.000 0.000 2.833
Si Sb Ir
4 2 4
Cartesian
1.077 4.812 1.416
2.658 1.077 1.416
4.812 6.394 1.416
6.394 2.658 1.416
0.000 0.000 0.000
3.735 3.735 0.000
4.793 1.058 0.000
1.058 2.677 0.000
2.677 6.413 0.000
6.413 4.793 0.000

Most stable pick: 1. Distance to second place: 0.190 eV/atom.

1 | SiSbIr2, optimized geometry, DFT PBE; space-group type = I-42d, No. 122
1.0
-5.187 1.573 1.101
-1.814 -2.979 -4.292
-4.156 -5.285 1.862
Si Sb Ir
2 2 4
Cartesian
-3.501 -0.703 -1.595
-4.735 -4.484 -2.012
-6.421 -2.208 0.684
0.000 0.000 0.000
-4.289 -0.777 0.571
-5.818 -4.617 0.020
-9.166 -5.069 -1.215
-3.039 -2.921 -2.033

2 | SiSbIr2, optimized geometry, DFT PBE; space-group type = Immm, No. 71
1.0
5.292 0.003 -0.009
1.992 4.903 0.009
-2.870 -3.598 2.611
Sb Si Ir
1 1 2
Cartesian
3.032 -0.571 1.301
1.381 1.879 1.310
0.321 0.216 0.000
3.320 2.236 0.000

Most stable pick: 1. Distance to second place: 0.178 eV/atom.

1 | SiSbIr2, optimized geometry, DFT PBE; space-group type = Pmm2, No. 25
1.0
-0.973 -2.725 -1.053
-0.381 -1.251 3.591
-5.334 1.872 0.086
Ir Sb Si
2 1 1
Cartesian
-4.985 1.749 0.080
-2.100 -1.489 1.292
-2.453 0.861 0.040
-5.152 -0.418 1.341

2 | SiSbIr2, optimized geometry, DFT PBE; space-group type = Cm, No. 8
1.0
-2.273 1.014 -3.496
-0.962 -2.325 -3.476
-4.757 -1.862 1.176
Ir Si Sb
2 1 1
Cartesian
-3.800 -1.531 -6.692
-6.125 -2.431 -4.232
-1.246 -0.501 -1.945
-4.051 -1.608 -2.797

Most stable pick: 2. Distance to second place: 0.110 eV/atom.

1 | SiSbTe2Ir, optimized geometry, DFT PBE; space-group type = P4/mmm, No. 123
1.0
-5.284 0.200 -1.080
-0.793 -4.365 3.073
-0.697 2.904 3.945
Ir Te Si Sb
1 2 1 1
Cartesian
0.000 0.000 0.000
-2.642 0.100 -0.540
-0.397 -2.182 1.536
-3.387 -0.630 2.969
-0.348 1.452 1.973

2 | SiSbTe2Ir, optimized geometry, DFT PBE; space-group type = P4/mmm, No. 123
1.0
5.045 0.000 0.000
0.000 5.045 0.000
0.000 0.000 5.054
Sb Ir Si Te
1 1 1 2
Cartesian
0.000 0.000 2.527
2.522 2.522 2.527
0.000 0.000 0.000
0.000 2.522 0.000
2.522 0.000 0.000

Most stable pick: 1. Distance to second place: 0.431 eV/atom.

1 | Sm4SbIr, optimized geometry, DFT PBE; space-group type = C2/m, No. 12
1.0
-3.105 6.222 -0.993
-4.366 -2.922 -4.660
-1.325 -3.336 8.082
Sm Sb Ir
8 2 2
Cartesian
-7.451 0.388 0.935
-5.082 1.226 -1.331
-3.521 -1.898 -0.835
-5.903 -2.708 1.427
-5.274 1.861 3.263
-3.713 -1.262 3.760
-1.344 -0.425 1.493
-2.892 2.672 1.001
-4.051 -0.634 -3.744
-3.419 3.934 -1.910
-4.398 -0.018 1.214
-0.662 -1.668 4.041

2 | Sm4SbIr, optimized geometry, DFT PBE; space-group type = P2_1/m, No. 11
1.0
-1.356 3.215 -5.165
5.120 -2.896 -3.147
-4.366 -7.795 0.071
Sb Sm Ir
2 8 2
Cartesian
0.787 -0.420 -1.868
-1.389 -7.056 -6.372
-3.401 -5.686 -3.836
-3.102 -5.495 0.007
-1.253 -2.048 -3.690
2.500 -1.982 -8.247
2.799 -1.791 -4.404
0.651 -5.429 -4.550
-0.545 -6.941 -1.565
-0.057 -0.535 -6.675
-1.572 -4.315 -2.122
0.970 -3.162 -6.118

Most stable pick: 2. Distance to second place: 0.086 eV/atom.

1 | Sn2SbIr2, optimized geometry, DFT PBE; space-group type = Cmcm, No. 63
1.0
3.905 0.000 -0.599
0.000 4.179 0.000
-0.068 0.000 12.593
Ir Sn Sb
4 4 2
Cartesian
0.664 1.045 4.329
3.174 3.134 7.666
2.075 3.134 0.497
1.763 1.045 11.498
3.620 3.134 10.578
0.932 3.134 6.077
0.217 1.045 1.417
2.906 1.045 5.917
1.367 1.045 8.919
2.470 3.134 3.075

2 | Sn2SbIr2, optimized geometry, DFT PBE; space-group type = P4/mbm, No. 127
1.0
-6.599 4.045 -1.897
0.090 -3.263 -7.270
-1.725 -2.333 1.026
Sb Sn Ir
2 4 4
Cartesian
-3.254 0.391 -4.584
0.000 0.000 0.000
-6.445 1.130 -3.651
-3.164 -0.235 -1.238
-5.070 -1.316 -6.904
-1.789 -2.681 -4.491
-2.263 -1.354 -6.885
-5.581 1.351 -6.314
-4.246 2.136 -2.282
-0.928 -0.568 -2.854

Most stable pick: 2. Distance to second place: 0.071 eV/atom.

1 | TaSb2Ir, optimized geometry, DFT PBE; space-group type = R-3m, No. 166
1.0
-1.742 -7.473 -4.718
1.116 -6.696 -5.921
0.927 -8.367 -3.203
Sb Ir Ta
2 1 1
Cartesian
0.001 -0.103 -0.063
0.149 -11.165 -6.858
0.226 -16.902 -10.382
0.075 -5.634 -3.461

2 | TaSb2Ir, optimized geometry, DFT PBE; space-group type = Pmm2, No. 25
1.0
-4.750 1.505 -0.292
-0.922 -2.618 1.504
0.469 2.320 4.326
Sb Ir Ta
2 1 1
Cartesian
-0.340 0.019 5.623
-2.598 0.378 1.552
-2.842 0.141 4.300
-0.102 0.222 2.808

3 | TaSb2Ir, optimized geometry, DFT PBE; space-group type = P4/mmm, No. 123
1.0
3.441 0.000 0.000
0.000 4.685 0.000
0.000 0.000 4.685
Ta Sb Ir
1 2 1
Cartesian
1.721 2.343 0.000
0.000 0.000 0.000
0.000 2.343 2.343
1.721 0.000 2.343

4 | TaSb2Ir, optimized geometry, DFT PBE; space-group type = F-43m, No. 216
1.0
-2.786 -2.571 3.012
1.914 -3.639 2.555
0.565 0.439 4.788
Ta Sb Ir
1 2 1
Cartesian
-0.230 -4.328 7.766
0.000 0.000 0.000
-0.077 -1.443 2.589
-0.153 -2.885 5.177

Most stable pick: 2. Distance to second place: 0.051 eV/atom.

1 | TaSb2Ir, optimized geometry, DFT PBE; space-group type = Imm2, No. 44
1.0
-1.528 1.699 -5.859
-5.576 -0.156 -2.904
3.217 1.780 5.102
Sb Ir Ta
2 1 1
Cartesian
-0.305 0.066 -0.377
-1.128 2.168 -2.812
-2.804 1.165 -0.905
-3.202 0.695 -3.949

2 | TaSb2Ir, optimized geometry, DFT PBE; space-group type = C2/m, No. 12
1.0
-1.172 3.847 -2.528
-3.013 3.672 -0.073
3.107 4.068 2.620
Ir Sb Ta
1 2 1
Cartesian
-0.269 2.897 0.005
-4.148 7.481 -2.577
-0.575 5.831 -0.015
-0.808 8.690 0.015

Most stable pick: 1. Distance to second place: 0.146 eV/atom.